PrAg3 | PBE-GGA | relaxed

Results
symmetry = Pm-3m
crystal system = cubic

Cell and atoms, written as POSCAR:
```
PrAg3
1.0
4.537 0.000 0.000
0.000 4.537 0.000
0.000 0.000 4.537
Ag Pr
3 1
Direct
0.000 0.500 0.500 Ag
0.500 0.500 0.000 Ag
0.500 0.000 0.500 Ag
0.000 0.000 0.000 Pr
```



Pr4Ag | PBE-GGA | relaxed

Results
symmetry = Fdd2
crystal system = orthorhombic

Cell and atoms, written as POSCAR:
```
Pr4Ag
1.0
7.112 -0.729 0.000
-3.413 6.282 0.000
-1.849 -2.777 7.738
Pr Ag
8 2
Direct
0.213 0.852 0.110 Pr
0.353 0.492 0.390 Pr
0.129 0.490 0.715 Pr
0.775 0.413 0.285 Pr
0.663 0.525 0.785 Pr
0.740 0.879 0.215 Pr
0.102 0.963 0.610 Pr
0.742 0.103 0.890 Pr
0.543 0.043 0.500 Ag
0.293 0.293 0.000 Ag
```



Number 1: formation enthalpy at 0 K 0.00 eV/atom. Number 2: formation enthalpy at 0 K -0.01 eV/atom.